[1]
# SiPHS PBE relaxed
# Raw total energy ... -4.49 eV/atom
# Distance to the lowest polymorph of the same formula ... 29.6 kJ/mol of atoms
data_SiPHS
_cell_length_a 3.694
_cell_length_b 4.840
_cell_length_c 5.113
_cell_angle_alpha 103.52
_cell_angle_beta 92.46
_cell_angle_gamma 110.53
_symmetry_space_group_name_H-M 'P 1'
_symmetry_Int_Tables_number 1
loop_
_symmetry_equiv_pos_as_xyz
'x,y,z'
loop_
_atom_site_label
_atom_site_type_symbol
_atom_site_fract_x
_atom_site_fract_y
_atom_site_fract_z
Si1 Si 0.000 0.000 0.000
P1 P 0.435 0.838 0.227
H1 H 0.544 0.021 0.502
S1 S 0.308 0.425 0.339

[2]
# CePm6Mg PBE relaxed
# Raw total energy ... -4.45 eV/atom
# ΔE_f ... 54 meV/atom
data_CePm6Mg
_cell_length_a 5.060
_cell_length_b 5.060
_cell_length_c 20.383
_cell_angle_alpha 90.00
_cell_angle_beta 90.00
_cell_angle_gamma 90.00
_symmetry_space_group_name_H-M 'I 4/m m m'
_symmetry_Int_Tables_number 139
_symmetry_space_group_name_Hall '-I 4 2'
loop_
_atom_site_label
_atom_site_type_symbol
_atom_site_fract_x
_atom_site_fract_y
_atom_site_fract_z
Ce1 Ce 0.000 0.000 0.000
Pm1 Pm 0.000 0.000 0.247
Pm2 Pm 0.000 0.500 0.122
Mg1 Mg 0.000 0.000 0.500

[3]
# Tm2LuBi PBE relaxed
# Raw total energy ... -4.66 eV/atom
# Distance to the lowest polymorph of the same formula ... 0.0 kJ/mol of atoms
# ΔE_f ... -327 meV/atom
data_Tm2LuBi
_cell_length_a 4.136
_cell_length_b 4.136
_cell_length_c 6.693
_cell_angle_alpha 90.00
_cell_angle_beta 90.00
_cell_angle_gamma 90.00
_symmetry_space_group_name_H-M 'P 4/m m m'
_symmetry_Int_Tables_number 123
_symmetry_space_group_name_Hall '-P 4 2'
loop_
_atom_site_label
_atom_site_type_symbol
_atom_site_fract_x
_atom_site_fract_y
_atom_site_fract_z
Tm1 Tm 0.000 0.000 0.245
Lu1 Lu 0.500 0.500 0.500
Bi1 Bi 0.500 0.500 0.000

[4]
# ScZn2Co PBE relaxed
# Raw total energy ... -4.15 eV/atom
# ΔE_f ... -149 meV/atom
data_ScZn2Co
_cell_length_a 3.163
_cell_length_b 3.188
_cell_length_c 6.021
_cell_angle_alpha 90.00
_cell_angle_beta 90.00
_cell_angle_gamma 90.00
_symmetry_space_group_name_H-M 'P m m m'
_symmetry_Int_Tables_number 47
loop_
_symmetry_equiv_pos_as_xyz
'x,y,z'
'-x,-y,-z'
'-x,-y,z'
'x,y,-z'
'x,-y,-z'
'-x,y,z'
'-x,y,-z'
'x,-y,z'
loop_
_atom_site_label
_atom_site_type_symbol
_atom_site_fract_x
_atom_site_fract_y
_atom_site_fract_z
Sc1 Sc 0.000 0.000 0.000
Zn1 Zn 0.500 0.500 0.292
Co1 Co 0.000 0.000 0.500

[5]
# Ce8Os2Rh3 PBE relaxed
# Raw total energy ... -7.41 eV/atom
# ΔE_f ... -331 meV/atom
data_Ce8Os2Rh3
_cell_length_a 13.933
_cell_length_b 8.452
_cell_length_c 5.418
_cell_angle_alpha 90.00
_cell_angle_beta 107.50
_cell_angle_gamma 90.00
_symmetry_space_group_name_H-M 'C 1 2/m 1'
_symmetry_Int_Tables_number 12
loop_
_symmetry_equiv_pos_as_xyz
'x,y,z'
'-x,-y,-z'
'-x,y,-z'
'x,-y,z'
'x+1/2,y+1/2,z'
'-x+1/2,-y+1/2,-z'
'-x+1/2,y+1/2,-z'
'x+1/2,-y+1/2,z'
loop_
_atom_site_label
_atom_site_type_symbol
_atom_site_fract_x
_atom_site_fract_y
_atom_site_fract_z
Ce1 Ce 0.116 0.000 0.498
Ce2 Ce 0.118 0.292 0.998
Ce3 Ce 0.173 0.500 0.466
Os1 Os 0.216 0.000 0.016
Rh1 Rh 0.000 0.000 0.000
Rh2 Rh 0.000 0.322 0.500

[6]
# Tb7HgRh4 PBE relaxed
# Raw total energy ... -5.66 eV/atom
# ΔE_f ... -480 meV/atom
data_Tb7HgRh4
_cell_length_a 13.589
_cell_length_b 5.527
_cell_length_c 9.620
_cell_angle_alpha 90.00
_cell_angle_beta 125.06
_cell_angle_gamma 90.00
_symmetry_space_group_name_H-M 'C 1 2/m 1'
_symmetry_Int_Tables_number 12
loop_
_symmetry_equiv_pos_as_xyz
'x,y,z'
'-x,-y,-z'
'-x,y,-z'
'x,-y,z'
'x+1/2,y+1/2,z'
'-x+1/2,-y+1/2,-z'
'-x+1/2,y+1/2,-z'
'x+1/2,-y+1/2,z'
loop_
_atom_site_label
_atom_site_type_symbol
_atom_site_fract_x
_atom_site_fract_y
_atom_site_fract_z
Tb1 Tb 0.000 0.000 0.000
Tb2 Tb 0.076 0.500 0.370
Tb3 Tb 0.176 0.000 0.624
Tb4 Tb 0.210 0.500 0.879
Hg1 Hg 0.000 0.500 0.000
Rh1 Rh 0.067 0.000 0.777
Rh2 Rh 0.204 0.000 0.343

[7]
# Dy3Tl4InSe8 PBE relaxed
# Raw total energy ... -4.52 eV/atom
# ΔE_f (raw) ... -1.15 eV/atom
data_Dy3Tl4InSe8
_cell_length_a 14.438
_cell_length_b 8.335
_cell_length_c 9.140
_cell_angle_alpha 90.00
_cell_angle_beta 121.77
_cell_angle_gamma 90.00
_symmetry_space_group_name_H-M 'C 1 2/m 1'
_symmetry_Int_Tables_number 12
loop_
_symmetry_equiv_pos_as_xyz
'x,y,z'
'-x,-y,-z'
'-x,y,-z'
'x,-y,z'
'x+1/2,y+1/2,z'
'-x+1/2,-y+1/2,-z'
'-x+1/2,y+1/2,-z'
'x+1/2,-y+1/2,z'
loop_
_atom_site_label
_atom_site_type_symbol
_atom_site_fract_x
_atom_site_fract_y
_atom_site_fract_z
Dy1 Dy 0.000 0.000 0.000
Dy2 Dy 0.250 0.250 0.000
Tl1 Tl 0.000 0.000 0.500
Tl2 Tl 0.000 0.500 0.500
Tl3 Tl 0.250 0.250 0.500
In1 In 0.000 0.500 0.000
Se1 Se 0.014 0.254 0.797
Se2 Se 0.233 0.500 0.204
Se3 Se 0.235 0.000 0.205

[8]
# CaPm2Hg4 PBE relaxed
# Raw total energy ... -1.87 eV/atom
# Distance to the lowest polymorph of the same formula ... 29.3 kJ/mol of atoms
# ΔE_f ... -59 meV/atom
data_CaPm2Hg4
_cell_length_a 5.603
_cell_length_b 5.603
_cell_length_c 15.694
_cell_angle_alpha 90.00
_cell_angle_beta 90.00
_cell_angle_gamma 90.00
_symmetry_space_group_name_H-M 'I 4/m m m'
_symmetry_Int_Tables_number 139
_symmetry_space_group_name_Hall '-I 4 2'
loop_
_atom_site_label
_atom_site_type_symbol
_atom_site_fract_x
_atom_site_fract_y
_atom_site_fract_z
Ca1 Ca 0.000 0.000 0.000
Pm1 Pm 0.000 0.000 0.394
Hg1 Hg 0.000 0.000 0.195
Hg2 Hg 0.000 0.500 0.000

[9]
# SrCd2HgRh PBE relaxed
# Raw total energy ... -2.36 eV/atom
# Distance to the lowest polymorph of the same formula ... 5.7 kJ/mol of atoms
# ΔE_f ... -125 meV/atom
data_SrCd2HgRh
_cell_length_a 5.227
_cell_length_b 5.227
_cell_length_c 5.540
_cell_angle_alpha 90.00
_cell_angle_beta 90.00
_cell_angle_gamma 90.00
_symmetry_space_group_name_H-M 'P 4/m m m'
_symmetry_Int_Tables_number 123
_symmetry_space_group_name_Hall '-P 4 2'
loop_
_atom_site_label
_atom_site_type_symbol
_atom_site_fract_x
_atom_site_fract_y
_atom_site_fract_z
Sr1 Sr 0.000 0.000 0.000
Cd1 Cd 0.000 0.500 0.500
Hg1 Hg 0.500 0.500 0.000
Rh1 Rh 0.000 0.000 0.500

[10]
# CeYMgOs PBE relaxed
# Raw total energy ... -6.37 eV/atom
# ΔE_f ... -68 meV/atom
data_CeYMgOs
_cell_length_a 7.125
_cell_length_b 7.125
_cell_length_c 7.125
_cell_angle_alpha 90.00
_cell_angle_beta 90.00
_cell_angle_gamma 90.00
_symmetry_space_group_name_H-M 'F -4 3 m'
_symmetry_Int_Tables_number 216
_symmetry_space_group_name_Hall 'F -4 2 3'
loop_
_atom_site_label
_atom_site_type_symbol
_atom_site_fract_x
_atom_site_fract_y
_atom_site_fract_z
Ce1 Ce 0.000 0.000 0.000
Y1 Y 0.000 0.000 0.500
Mg1 Mg 0.250 0.250 0.750
Os1 Os 0.250 0.250 0.250

[11]
# Pr2SiHPt6 PBE relaxed
# Raw total energy ... -6.31 eV/atom
data_Pr2SiHPt6
_cell_length_a 9.991
_cell_length_b 5.771
_cell_length_c 6.861
_cell_angle_alpha 90.00
_cell_angle_beta 119.14
_cell_angle_gamma 90.00
_symmetry_space_group_name_H-M 'C 1 2/m 1'
_symmetry_Int_Tables_number 12
loop_
_symmetry_equiv_pos_as_xyz
'x,y,z'
'-x,-y,-z'
'-x,y,-z'
'x,-y,z'
'x+1/2,y+1/2,z'
'-x+1/2,-y+1/2,-z'
'-x+1/2,y+1/2,-z'
'x+1/2,-y+1/2,z'
loop_
_atom_site_label
_atom_site_type_symbol
_atom_site_fract_x
_atom_site_fract_y
_atom_site_fract_z
Pr1 Pr 0.219 0.000 0.158
Si1 Si 0.000 0.500 0.000
H1 H 0.000 0.000 0.500
Pt1 Pt 0.020 0.254 0.305
Pt2 Pt 0.234 0.000 0.694

[12]
# OsSeI2O PBE relaxed
# Raw total energy ... -3.32 eV/atom
# Distance to the lowest polymorph of the same formula ... 95.5 kJ/mol of atoms
# ΔE_f (raw) ... 1.23 eV/atom
data_OsSeI2O
_cell_length_a 5.558
_cell_length_b 5.558
_cell_length_c 3.657
_cell_angle_alpha 90.00
_cell_angle_beta 90.00
_cell_angle_gamma 90.00
_symmetry_space_group_name_H-M 'P 4/m m m'
_symmetry_Int_Tables_number 123
_symmetry_space_group_name_Hall '-P 4 2'
loop_
_atom_site_label
_atom_site_type_symbol
_atom_site_fract_x
_atom_site_fract_y
_atom_site_fract_z
Os1 Os 0.000 0.000 0.000
Se1 Se 0.500 0.500 0.500
I1 I 0.000 0.500 0.500
O1 O 0.500 0.500 0.000